# 1
A plane-wave DFT calculation with GGA-PBE was carried out for an optimized crystal structure of CaMg3Ge2.

Calculated values
**SG**: No. 12
**Size of the total moment**: 0.0 μB/f.u.
**Total DFT energy (no corrections)**: -54.40 eV for the cell shown
**E_form**: -0.352 eV/atom

The structure in POSCAR format:
```
CaMg3Ge2
1.0
-0.849 1.317 3.977
-8.377 -1.193 -3.691
2.633 -9.906 3.843
Mg Ge Ca
9 6 3
Direct
0.379 0.757 0.790 Mg
0.500 0.000 0.500 Mg
0.042 0.083 0.343 Mg
0.621 0.243 0.210 Mg
0.958 0.917 0.657 Mg
0.323 0.645 0.029 Mg
0.677 0.355 0.971 Mg
0.215 0.430 0.393 Mg
0.785 0.570 0.607 Mg
0.199 0.397 0.138 Ge
0.537 0.074 0.796 Ge
0.359 0.717 0.530 Ge
0.801 0.603 0.862 Ge
0.463 0.926 0.204 Ge
0.641 0.283 0.470 Ge
0.152 0.304 0.699 Ca
0.848 0.696 0.301 Ca
0.000 0.000 0.000 Ca
```

---

# 2
A plane-wave DFT calculation with GGA-PBE was carried out for an optimized crystal structure of CaMg2Ge2.

Calculated values
**SG**: No. 127
**Size of the total moment**: 0.0 μB/f.u.
**Total DFT energy (no corrections)**: -31.15 eV for the cell shown
**E_form**: -0.230 eV/atom

The structure in POSCAR format:
```
CaMg2Ge2
1.0
8.110 0.000 0.000
0.000 8.110 0.000
0.000 0.000 3.257
Ca Ge Mg
2 4 4
Direct
0.000 0.000 0.000 Ca
0.500 0.500 0.000 Ca
0.174 0.674 0.500 Ge
0.826 0.326 0.500 Ge
0.326 0.174 0.500 Ge
0.674 0.826 0.500 Ge
0.875 0.625 0.000 Mg
0.125 0.375 0.000 Mg
0.375 0.875 0.000 Mg
0.625 0.125 0.000 Mg
```

---

# 3
A plane-wave DFT calculation with GGA-PBE was carried out for an optimized crystal structure of CaMgGe2.

Calculated values
**SG**: No. 62
**Size of the total moment**: 0.0 μB/f.u.
**Total DFT energy (no corrections)**: -57.83 eV for the cell shown
**E_form**: -0.407 eV/atom

The structure in POSCAR format:
```
CaMgGe2
1.0
-1.904 -2.940 1.786
-0.465 -4.085 -7.221
9.720 -4.968 2.185
Mg Ge Ca
4 8 4
Direct
0.750 0.504 0.890 Mg
0.750 0.004 0.610 Mg
0.250 0.996 0.390 Mg
0.250 0.496 0.110 Mg
0.750 0.753 0.446 Ge
0.250 0.247 0.554 Ge
0.750 0.253 0.054 Ge
0.250 0.180 0.191 Ge
0.250 0.680 0.309 Ge
0.250 0.747 0.946 Ge
0.750 0.320 0.691 Ge
0.750 0.820 0.809 Ge
0.750 0.884 0.138 Ca
0.250 0.116 0.862 Ca
0.250 0.616 0.638 Ca
0.750 0.384 0.362 Ca
```

---

# 4
A plane-wave DFT calculation with GGA-PBE was carried out for an optimized crystal structure of CaMgGe2.

Calculated values
**SG**: No. 123
**Size of the total moment**: 0.0 μB/f.u.
**Total DFT energy (no corrections)**: -14.13 eV for the cell shown
**E_form**: -0.325 eV/atom

The structure in POSCAR format:
```
CaMgGe2
1.0
-0.477 0.973 -3.482
-2.926 -2.168 -0.205
-3.815 4.968 1.911
Mg Ge Ca
1 2 1
Direct
0.500 0.500 0.000 Mg
0.000 0.000 0.796 Ge
0.000 0.000 0.204 Ge
0.500 0.500 0.500 Ca
```